Cs3NaPu2Br9 | PBE | relaxed

Cell: 8.259 8.259 10.162 Å, 90.00 90.00 120.00°
Sites, in units of the cell vectors:
1 Pu 0.333 0.667 0.173
2 Br 0.500 0.500 0.000
3 Br 0.834 0.166 0.670
4 Br 0.500 0.000 0.000
5 Pu 0.667 0.333 0.827
6 Na 0.000 0.000 0.500
7 Br 0.834 0.667 0.670
8 Cs 0.333 0.667 0.648
9 Cs 0.000 0.000 0.000
10 Br 0.166 0.834 0.330
11 Cs 0.667 0.333 0.352
12 Br 0.000 0.500 0.000
13 Br 0.166 0.333 0.330
14 Br 0.667 0.834 0.330
15 Br 0.333 0.166 0.670

**Formation energy (no corrections)**: -25.0 eV per formula unit
**V**: 40.02 A^3/atom
**Crystal system**: trigonal
**Calculated total energy**: -4.84 eV/atom
**M_tot**: 11.00 μB/f.u.